# Pm8InRh2 | Alexandria via LeMat-Bulk | PBE | relaxed
# Total DFT energy (no corrections)   -5.356 eV/atom
# Formation energy from the elements   -0.32 eV per atom
data_Pm8InRh2
_chemical_formula_sum 'Pm16 In2 Rh4'
_cell_length_a 8.800
_cell_length_b 13.837
_cell_length_c 5.574
_cell_angle_alpha 90.00
_cell_angle_beta 104.23
_cell_angle_gamma 90.00
_space_group_name_H-M_alt 'C 1 2/m 1'
_space_group_IT_number 12
_space_group_name_Hall '-C 2y'
loop_
_atom_site_label
_atom_site_type_symbol
_atom_site_fract_x
_atom_site_fract_y
_atom_site_fract_z
Pm1 Pm 0.000 0.248 0.000
Pm2 Pm 0.106 0.500 0.806
Pm3 Pm 0.203 0.125 0.562
In1 In 0.000 0.000 0.000
Rh1 Rh 0.000 0.297 0.500